Here is crystalline KGaFeSn2 at its relaxed geometry from Alexandria via LeMat-Bulk. Energies are from PBE-GGA.

Energy of formation: -0.0046 eV/atom
Density: 5.37 g/cm³
Total energy: -4.123 eV per atom

```
data_KGaFeSn2
_chemical_formula_sum 'K1 Ga1 Fe1 Sn2'
_space_group_name_H-M_alt 'P 4/m m m'
_space_group_IT_number 123
_space_group_name_Hall '-P 4 2'
_cell_length_a 5.0659
_cell_length_b 5.0659
_cell_length_c 4.8426
_cell_angle_alpha 90.00
_cell_angle_beta 90.00
_cell_angle_gamma 90.00
loop_
_atom_site_label
_atom_site_fract_x
_atom_site_fract_y
_atom_site_fract_z
K1 0.0000 0.0000 0.0000
Ga1 0.5000 0.5000 0.0000
Fe1 0.5000 0.5000 0.5000
Sn1 0.0000 0.5000 0.5000
```